1.
Density functional theory data (GGA-PBE) for Li2LaY after structural relaxation.

abc: 5.2927 5.2927 5.2927
angles: 60.00 60.00 60.00
With the nearest neighbours (Å) after each atom.
Positions (direct):
Y 0.7500 0.7500 0.7500  4 La 3.24, 4 Li 3.24
Li 0.0000 0.0000 0.0000  4 Y 3.24, 4 Li 3.24
Li 0.2500 0.2500 0.2500  4 Li 3.24, 4 La 3.24
La 0.5000 0.5000 0.5000  4 Li 3.24, 4 Y 3.24

Computed properties:
Total DFT energy (no corrections) in eV/cell: -14.257
Volume in A^3/atom: 26.21



2.
Density functional theory data (GGA-PBE) for ScTcRh2 after structural relaxation.

abc: 2.8575 2.8575 7.7185
angles: 90.00 90.00 89.99
With the nearest neighbours (Å) after each atom.
Positions (direct):
Rh 0.5000 0.5000 0.2453  4 Sc 2.76, 8 Rh 2.81-2.86
Rh 0.0000 0.0000 0.9919  4 Tc 2.63, 8 Rh 2.81-2.86
Tc 0.5000 0.5000 0.7741  4 Rh 2.63, 4 Tc 2.86
Sc 0.0000 0.0000 0.4887  4 Rh 2.76, 4 Sc 2.86, 4 Tc 2.99

Computed properties:
Total DFT energy (no corrections) in eV/cell: -32.152
Volume in A^3/atom: 15.76



3.
Density functional theory data (GGA-PBE) for Mg3BeZn after structural relaxation.

abc: 4.7648 4.7648 4.7648
angles: 90.00 90.00 90.00
With the nearest neighbours (Å) after each atom.
Positions (direct):
Mg 0.0000 0.5000 0.0000  2 Be 2.38
Mg 0.5000 0.0000 0.0000  2 Be 2.38
Mg 0.0000 0.0000 0.5000  2 Be 2.38
Zn 0.5000 0.5000 0.5000  12 Mg 3.37
Be 0.0000 0.0000 0.0000  6 Mg 2.38

Computed properties:
Total DFT energy (no corrections) in eV/cell: -8.161
Volume in A^3/atom: 21.64



- The highest total DFT energy (no corrections) belongs to which entry?
  Mg3BeZn